# CeCuPb | Alexandria | PBE | optimized geometry
# Density ... 9.191 g/cm³
# Volume ... 24.74 Å³ per atom
# Formation energy ... -0.7 eV per formula unit
# D(E_F) ... 6.9 states/eV/cell
# Total magnetization ... 1.14 μB/f.u.
data_CeCuPb
_cell_length_a 4.6343
_cell_length_b 4.6343
_cell_length_c 3.9910
_cell_angle_alpha 90.00
_cell_angle_beta 90.00
_cell_angle_gamma 120.00
_space_group_name_H-M_alt 'P 3 m 1'
_space_group_IT_number 156
_space_group_name_Hall 'P 3 -2"'
loop_
_atom_site_label
_atom_site_type_symbol
_atom_site_fract_x
_atom_site_fract_y
_atom_site_fract_z
Ce1 Ce 0.0000 0.0000 0.0000
Cu1 Cu 0.3333 0.6667 0.5097
Pb1 Pb 0.6667 0.3333 0.4963